# KSrNF2 (PBE, relaxed)
# Total DFT energy (no corrections) = -23.3 eV for the cell shown
# E above lowest polymorph = 0.00 kJ/mol of atoms
# Energy relative to the elements, uncorrected = -1687 meV/atom
# Calculated volume = 120 Å³/f.u.
# Total magnetic moment = 0.4000 μB/atom
data_KSrNF2
_space_group_name_H-M_alt 'P 4/m m m'
_space_group_IT_number 123
_space_group_name_Hall '-P 4 2'
_cell_length_a 4.762
_cell_length_b 4.762
_cell_length_c 5.274
_cell_angle_alpha 90.00
_cell_angle_beta 90.00
_cell_angle_gamma 90.00
loop_
_atom_site_label
_atom_site_type_symbol
_atom_site_fract_x
_atom_site_fract_y
_atom_site_fract_z
_atom_site_occupancy
K1 K 0.000 0.000 0.000 1
Sr1 Sr 0.500 0.500 0.500 1
N1 N 0.500 0.500 0.000 1
F1 F 0.000 0.500 0.500 1

---

# HoTh3Tc (PBE, relaxed)
# Total DFT energy (no corrections) = -148.6 eV for the cell shown
# E above lowest polymorph = 0.00 kJ/mol of atoms
# Calculated volume = 145 Å³/f.u.
# Total magnetic moment = 0.0000 μB/atom
data_HoTh3Tc
_space_group_name_H-M_alt 'P n m a'
_space_group_IT_number 62
_cell_length_a 10.436
_cell_length_b 5.451
_cell_length_c 10.188
_cell_angle_alpha 90.00
_cell_angle_beta 90.00
_cell_angle_gamma 90.00
loop_
_space_group_symop_operation_xyz
'x,y,z'
'-x,-y,-z'
'-x+1/2,-y,z+1/2'
'x+1/2,y,-z+1/2'
'x+1/2,-y+1/2,-z+1/2'
'-x+1/2,y+1/2,z+1/2'
'-x,y+1/2,-z'
'x,-y+1/2,z'
loop_
_atom_site_label
_atom_site_type_symbol
_atom_site_fract_x
_atom_site_fract_y
_atom_site_fract_z
_atom_site_occupancy
Ho1 Ho 0.210 0.250 0.017 1
Th1 Th 0.049 0.250 0.440 1
Th2 Th 0.093 0.750 0.220 1
Th3 Th 0.147 0.750 0.830 1
Tc1 Tc 0.156 0.250 0.690 1

---

# Ac5CdPb4 (PBE, relaxed)
# Total DFT energy (no corrections) = -40.7 eV for the cell shown
# Calculated volume = 353 Å³/f.u.
# Total magnetic moment = 0.0000 μB/atom
data_Ac5CdPb4
_space_group_name_H-M_alt 'P 4/m m m'
_space_group_IT_number 123
_space_group_name_Hall '-P 4 2'
_cell_length_a 3.931
_cell_length_b 3.931
_cell_length_c 22.820
_cell_angle_alpha 90.00
_cell_angle_beta 90.00
_cell_angle_gamma 90.00
loop_
_atom_site_label
_atom_site_type_symbol
_atom_site_fract_x
_atom_site_fract_y
_atom_site_fract_z
_atom_site_occupancy
Ac1 Ac 0.000 0.000 0.000 1
Ac2 Ac 0.000 0.000 0.203 1
Ac3 Ac 0.000 0.000 0.404 1
Cd1 Cd 0.500 0.500 0.500 1
Pb1 Pb 0.500 0.500 0.102 1
Pb2 Pb 0.500 0.500 0.304 1

---

# PrTm3Pt (PBE, relaxed)
# Total DFT energy (no corrections) = -26.4 eV for the cell shown
# Calculated volume = 160 Å³/f.u.
# Total magnetic moment = 0.0000 μB/atom
data_PrTm3Pt
_space_group_name_H-M_alt 'P m -3 m'
_space_group_IT_number 221
_space_group_name_Hall '-P 4 2 3'
_cell_length_a 5.428
_cell_length_b 5.428
_cell_length_c 5.428
_cell_angle_alpha 90.00
_cell_angle_beta 90.00
_cell_angle_gamma 90.00
loop_
_atom_site_label
_atom_site_type_symbol
_atom_site_fract_x
_atom_site_fract_y
_atom_site_fract_z
_atom_site_occupancy
Pr1 Pr 0.000 0.000 0.000 1
Tm1 Tm 0.000 0.500 0.500 1
Pt1 Pt 0.500 0.500 0.500 1

---

# MgIrRu3 (PBE, relaxed)
# Total DFT energy (no corrections) = -31.2 eV for the cell shown
# E above lowest polymorph = 0.00 kJ/mol of atoms
# Calculated volume = 104 Å³/f.u.
# Total magnetic moment = 0.0909 μB/atom
data_MgIrRu3
_space_group_name_H-M_alt 'P m -3 m'
_space_group_IT_number 221
_space_group_name_Hall '-P 4 2 3'
_cell_length_a 4.708
_cell_length_b 4.708
_cell_length_c 4.708
_cell_angle_alpha 90.00
_cell_angle_beta 90.00
_cell_angle_gamma 90.00
loop_
_atom_site_label
_atom_site_type_symbol
_atom_site_fract_x
_atom_site_fract_y
_atom_site_fract_z
_atom_site_occupancy
Mg1 Mg 0.000 0.000 0.000 1
Ir1 Ir 0.500 0.500 0.500 1
Ru1 Ru 0.000 0.500 0.500 1

---

# Ho6Si2Pb (PBE, relaxed)
# Total DFT energy (no corrections) = -187.6 eV for the cell shown
# Energy relative to the elements, uncorrected = -541 meV/atom
# Calculated volume = 235 Å³/f.u.
# Total magnetic moment = 0.0000 μB/atom
data_Ho6Si2Pb
_space_group_name_H-M_alt 'I m m m'
_space_group_IT_number 71
_space_group_name_Hall '-I 2 2'
_cell_length_a 9.443
_cell_length_b 9.646
_cell_length_c 10.309
_cell_angle_alpha 90.00
_cell_angle_beta 90.00
_cell_angle_gamma 90.00
loop_
_atom_site_label
_atom_site_type_symbol
_atom_site_fract_x
_atom_site_fract_y
_atom_site_fract_z
_atom_site_occupancy
Ho1 Ho 0.000 0.209 0.240 1
Ho2 Ho 0.202 0.500 0.180 1
Ho3 Ho 0.220 0.313 0.500 1
Si1 Si 0.000 0.372 0.000 1
Si2 Si 0.000 0.500 0.385 1
Pb1 Pb 0.000 0.000 0.000 1
Pb2 Pb 0.000 0.000 0.500 1

---

# Si2PtRh (PBE, relaxed)
# Total DFT energy (no corrections) = -25.6 eV for the cell shown
# E above lowest polymorph = 32.50 kJ/mol of atoms
# Energy relative to the elements, uncorrected = -349 meV/atom
# Calculated volume = 59 Å³/f.u.
# Total magnetic moment = 0.0000 μB/atom
data_Si2PtRh
_space_group_name_H-M_alt 'P 1 2/m 1'
_space_group_IT_number 10
_cell_length_a 2.825
_cell_length_b 3.595
_cell_length_c 5.812
_cell_angle_alpha 90.00
_cell_angle_beta 94.58
_cell_angle_gamma 90.00
loop_
_space_group_symop_operation_xyz
'x,y,z'
'-x,-y,-z'
'-x,y,-z'
'x,-y,z'
loop_
_atom_site_label
_atom_site_type_symbol
_atom_site_fract_x
_atom_site_fract_y
_atom_site_fract_z
_atom_site_occupancy
Si1 Si 0.041 0.000 0.218 1
Pt1 Pt 0.000 0.500 0.500 1
Rh1 Rh 0.500 0.500 0.000 1

---

# Al2AgRu (PBE, relaxed)
# Total DFT energy (no corrections) = -42.0 eV for the cell shown
# Calculated volume = 59 Å³/f.u.
# Total magnetic moment = 0.0000 μB/atom
data_Al2AgRu
_space_group_name_H-M_alt 'C m m m'
_space_group_IT_number 65
_space_group_name_Hall '-C 2 2'
_cell_length_a 6.081
_cell_length_b 6.220
_cell_length_c 3.108
_cell_angle_alpha 90.00
_cell_angle_beta 90.00
_cell_angle_gamma 90.00
loop_
_atom_site_label
_atom_site_type_symbol
_atom_site_fract_x
_atom_site_fract_y
_atom_site_fract_z
_atom_site_occupancy
Al1 Al 0.250 0.250 0.000 1
Ag1 Ag 0.000 0.000 0.500 1
Ru1 Ru 0.000 0.500 0.500 1

---

# LaYBeCu (PBE, relaxed)
# Total DFT energy (no corrections) = -76.6 eV for the cell shown
# Calculated volume = 90 Å³/f.u.
# Total magnetic moment = 0.0000 μB/atom
data_LaYBeCu
_space_group_name_H-M_alt 'F -4 3 m'
_space_group_IT_number 216
_space_group_name_Hall 'F -4 2 3'
_cell_length_a 7.112
_cell_length_b 7.112
_cell_length_c 7.112
_cell_angle_alpha 90.00
_cell_angle_beta 90.00
_cell_angle_gamma 90.00
loop_
_atom_site_label
_atom_site_type_symbol
_atom_site_fract_x
_atom_site_fract_y
_atom_site_fract_z
_atom_site_occupancy
La1 La 0.000 0.000 0.000 1
Y1 Y 0.000 0.000 0.500 1
Be1 Be 0.250 0.250 0.250 1
Cu1 Cu 0.250 0.250 0.750 1

---

# Dy2HoTm5Sc (PBE, relaxed)
# Total DFT energy (no corrections) = -163.8 eV for the cell shown
# Calculated volume = 275 Å³/f.u.
# Total magnetic moment = 0.0000 μB/atom
data_Dy2HoTm5Sc
_space_group_name_H-M_alt 'C m c 21'
_space_group_IT_number 36
_cell_length_a 5.470
_cell_length_b 19.636
_cell_length_c 10.253
_cell_angle_alpha 90.00
_cell_angle_beta 90.00
_cell_angle_gamma 90.00
loop_
_space_group_symop_operation_xyz
'x,y,z'
'-x,-y,z+1/2'
'-x,y,z'
'x,-y,z+1/2'
'x+1/2,y+1/2,z'
'-x+1/2,-y+1/2,z+1/2'
'-x+1/2,y+1/2,z'
'x+1/2,-y+1/2,z+1/2'
loop_
_atom_site_label
_atom_site_type_symbol
_atom_site_fract_x
_atom_site_fract_y
_atom_site_fract_z
_atom_site_occupancy
Dy1 Dy 0.000 0.111 0.000 1
Dy2 Dy 0.000 0.114 0.421 1
Ho1 Ho 0.000 0.410 0.142 1
Tm1 Tm 0.000 0.018 0.705 1
Tm2 Tm 0.000 0.276 0.005 1
Tm3 Tm 0.000 0.300 0.391 1
Tm4 Tm 0.000 0.379 0.707 1
Tm5 Tm 0.000 0.481 0.425 1
Sc1 Sc 0.000 0.196 0.700 1

---

# Pm7PrPb2 (PBE, relaxed)
# Total DFT energy (no corrections) = -86.0 eV for the cell shown
# Calculated volume = 420 Å³/f.u.
# Total magnetic moment = 0.0032 μB/atom
data_Pm7PrPb2
_space_group_name_H-M_alt 'C m m m'
_space_group_IT_number 65
_space_group_name_Hall '-C 2 2'
_cell_length_a 9.336
_cell_length_b 15.868
_cell_length_c 5.669
_cell_angle_alpha 90.00
_cell_angle_beta 90.00
_cell_angle_gamma 90.00
loop_
_atom_site_label
_atom_site_type_symbol
_atom_site_fract_x
_atom_site_fract_y
_atom_site_fract_z
_atom_site_occupancy
Pm1 Pm 0.000 0.000 0.000 1
Pm2 Pm 0.000 0.272 0.500 1
Pm3 Pm 0.180 0.378 0.000 1
Pr1 Pr 0.000 0.500 0.500 1
Pb1 Pb 0.000 0.196 0.000 1

---

# MnCu2As2 (PBE, relaxed)
# Total DFT energy (no corrections) = -51.8 eV for the cell shown
# Calculated volume = 77 Å³/f.u.
# Total magnetic moment = 0.5836 μB/atom
data_MnCu2As2
_space_group_name_H-M_alt 'P 4/m b m'
_space_group_IT_number 127
_space_group_name_Hall '-P 4 2ab'
_cell_length_a 6.608
_cell_length_b 6.608
_cell_length_c 3.535
_cell_angle_alpha 90.00
_cell_angle_beta 90.00
_cell_angle_gamma 90.00
loop_
_atom_site_label
_atom_site_type_symbol
_atom_site_fract_x
_atom_site_fract_y
_atom_site_fract_z
_atom_site_occupancy
Mn1 Mn 0.000 0.000 0.000 1
Cu1 Cu 0.137 0.363 0.500 1
As1 As 0.163 0.663 0.000 1

---

What is the total magnetic moment in the twelfth record?
0.5836 μB/atom

---

Which of these has the highest calculated volume?
Pm7PrPb2

---

Number 8 is which compound?
Al2AgRu